[1]
## CuTcS2N (PBE-GGA)

Data for a relaxed structure of CuTcS2N.

Results
* polymorph energy (0 for the lowest one): 0.742 eV/atom
* V: 76 Å³/cell
* total DFT energy (no corrections): -24.75 eV/cell

Unit cell a=4.6512 b=4.6512 c=3.4939 alpha=90.00 beta=90.00 gamma=90.00
Closest atoms and distances in Å follow each position.
Atoms (fractional coordinates):
Tc 0.5000 0.5000 0.5000  8 S 2.91
S 0.5000 0.0000 0.0000  2 Cu 2.33
S 0.0000 0.5000 0.0000  2 Cu 2.33
Cu 0.0000 0.0000 0.0000  2 N 1.75
N 0.0000 0.0000 0.5000  2 Cu 1.75


[2]
## La2TbPmTl2 (PBE-GGA)

Data for a relaxed structure of La2TbPmTl2.

Results
* V: 376 Å³/cell
* total DFT energy (no corrections): -51.42 eV/cell
* energy relative to the elements: -1.74 eV/f.u.

Unit cell a=5.1924 b=6.9797 c=10.3687 alpha=90.00 beta=90.00 gamma=90.00
Closest atoms and distances in Å follow each position.
Atoms (fractional coordinates):
Tl 0.5000 0.7205 0.6146  2 Tb 3.21-3.25, 4 Pm 3.26-3.49, 3 La 3.44-3.49
Tl 0.0000 0.7960 0.1472  2 Tb 3.20, 4 La 3.36-3.42, 1 Pm 3.40
Tl 0.5000 0.2205 0.3854  2 Tb 3.21-3.25, 4 Pm 3.26-3.49, 3 La 3.44-3.49
Tl 0.0000 0.2960 0.8528  2 Tb 3.20, 4 La 3.36-3.42, 1 Pm 3.40
La 0.5000 0.5870 0.9394  2 La 3.26, 3 Tl 3.42-3.49
La 0.0000 0.3124 0.1763  2 La 3.26, 5 Tl 3.36-3.62
La 0.5000 0.0870 0.0606  2 La 3.26, 3 Tl 3.42-3.49
La 0.0000 0.8124 0.8237  2 La 3.26, 5 Tl 3.36-3.62
Pm 0.0000 0.4578 0.5437  5 Tl 3.26-3.49, 2 Pm 3.61, 2 Tb 3.62
Pm 0.0000 0.9578 0.4563  5 Tl 3.26-3.49, 2 Pm 3.61, 2 Tb 3.62
Tb 0.5000 0.1719 0.6935  4 Tl 3.20-3.25
Tb 0.5000 0.6719 0.3065  4 Tl 3.20-3.25


[3]
## La8Er2Tm (PBE-GGA)

Data for a relaxed structure of La8Er2Tm.

Results
* polymorph energy (0 for the lowest one): 0.106 eV/atom
* V: 391 Å³/cell
* total DFT energy (no corrections): -51.60 eV/cell
* energy relative to the elements: 1.42 eV/f.u.

Unit cell a=6.0495 b=9.2419 c=9.5818 alpha=61.17 beta=74.51 gamma=56.38
Closest atoms and distances in Å follow each position.
Atoms (fractional coordinates):
La 0.1833 0.9049 0.7619  3 La 3.29-3.65, 2 Er 3.58-3.62
La 0.2983 0.4193 0.0000  3 La 3.05-3.29, 1 Tm 3.36
La 0.7017 0.5807 0.0000  3 La 3.05-3.29, 1 Tm 3.36
La 0.5000 0.2057 0.5885  1 Tm 3.45, 2 Er 3.50, 6 La 3.70-3.75
La 0.8167 0.0951 0.2381  3 La 3.29-3.65, 2 Er 3.58-3.62
La 0.1833 0.6668 0.2381  3 La 3.29-3.65, 2 Er 3.58-3.62
La 0.5000 0.7943 0.4115  1 Tm 3.45, 2 Er 3.50, 6 La 3.70-3.75
La 0.8167 0.3332 0.7619  3 La 3.29-3.65, 2 Er 3.58-3.62
Tm 0.5000 0.0000 0.0000  4 La 3.36-3.45
Er 0.0000 0.6888 0.6224  10 La 3.50-3.89
Er 0.0000 0.3112 0.3776  10 La 3.50-3.89


[4]
## Mg2ZnSb (PBE-GGA)

Data for a relaxed structure of Mg2ZnSb.

Results
* polymorph energy (0 for the lowest one): 0.006 eV/atom
* V: 86 Å³/cell
* total DFT energy (no corrections): -9.13 eV/cell

Unit cell a=4.5921 b=4.5921 c=4.0628 alpha=90.00 beta=90.00 gamma=90.00
Closest atoms and distances in Å follow each position.
Atoms (fractional coordinates):
Mg 0.5000 0.5000 0.0000  4 Sb 3.07, 4 Zn 3.07, 4 Mg 3.25
Mg 0.0000 0.0000 0.0000  4 Sb 3.07, 4 Zn 3.07, 4 Mg 3.25
Zn 0.0000 0.5000 0.5000  8 Mg 3.07, 4 Sb 3.25
Sb 0.5000 0.0000 0.5000  8 Mg 3.07, 4 Zn 3.25


Q: What is the formula in the third record?
A: La8Er2Tm